No. 1
The following is a DFT calculation (GGA-PBE) of a relaxed TiZnSiO5 crystal.

Calculated values
Formation energy without anion corrections in eV/atom: -2.499

Cell lengths 5.4425, 5.4425, 7.3939 Å; angles 106.84, 106.84, 97.15 degrees
With the nearest neighbours (Å) after each atom.
Atoms (fractional coordinates):
Ti: 0.0087 0.9913 0.5000  4 O 1.81-2.00
Ti: 0.9913 0.0087 0.0000  4 O 1.81-2.00
Zn: 0.1712 0.5861 0.1495  4 O 1.95-2.06
Zn: 0.5861 0.1712 0.6495  4 O 1.95-2.06
Si: 0.3662 0.6752 0.7796  4 O 1.64-1.65
Si: 0.6752 0.3662 0.2796  4 O 1.64-1.65
O: 0.1049 0.9280 0.2786  1 Ti 1.81, 1 Zn 1.96
O: 0.1853 0.7311 0.9260  1 Si 1.65
O: 0.3043 0.3620 0.6461  1 Si 1.64
O: 0.3134 0.8629 0.6392  1 Si 1.65
O: 0.3620 0.3043 0.1461  1 Si 1.64
O: 0.6774 0.7654 0.9226  1 Si 1.64
O: 0.7311 0.1853 0.4260  1 Si 1.65
O: 0.7654 0.6774 0.4226  1 Si 1.64
O: 0.8629 0.3134 0.1392  1 Si 1.65
O: 0.9280 0.1049 0.7786  1 Ti 1.81, 1 Zn 1.96

No. 2
The following is a DFT calculation (GGA-PBE) of a relaxed TiZnSi2O6 crystal.

Calculated values
Formation energy without anion corrections in eV/atom: -2.334

Cell lengths 6.8048, 6.8048, 5.3060 Å; angles 103.83, 103.83, 85.61 degrees
With the nearest neighbours (Å) after each atom.
Atoms (fractional coordinates):
Ti: 0.0838 0.9162 0.7500  6 O 2.14-2.23
Ti: 0.9162 0.0838 0.2500  6 O 2.14-2.23
Zn: 0.2545 0.7455 0.2500  4 O 1.99-2.12
Zn: 0.7455 0.2545 0.7500  4 O 1.99-2.12
Si: 0.2150 0.3927 0.7693  4 O 1.63-1.66
Si: 0.3927 0.2150 0.2693  4 O 1.63-1.66
Si: 0.6073 0.7850 0.7307  4 O 1.63-1.66
Si: 0.7850 0.6073 0.2307  4 O 1.63-1.66
O: 0.0352 0.2220 0.6601  1 Si 1.66
O: 0.1398 0.6254 0.8672  1 Si 1.63
O: 0.2220 0.0352 0.1601  1 Si 1.66
O: 0.3318 0.3769 0.5266  2 Si 1.65
O: 0.3746 0.8602 0.6328  1 Si 1.63
O: 0.3769 0.3318 0.0266  2 Si 1.65
O: 0.6231 0.6682 0.9734  2 Si 1.65
O: 0.6254 0.1398 0.3672  1 Si 1.63
O: 0.6682 0.6231 0.4734  2 Si 1.65
O: 0.7780 0.9648 0.8399  1 Si 1.66
O: 0.8602 0.3746 0.1328  1 Si 1.63
O: 0.9648 0.7780 0.3399  1 Si 1.66

No. 3
The following is a DFT calculation (GGA-PBE) of a relaxed TiZnSi4O10 crystal.

Calculated values
Formation energy without anion corrections in eV/atom: -2.439

Cell lengths 7.3177, 7.3177, 15.1305 Å; angles 90.00, 90.00, 90.00 degrees
With the nearest neighbours (Å) after each atom.
Atoms (fractional coordinates):
Ti: 0.2500 0.2500 0.0694  4 O 2.09
Ti: 0.2500 0.2500 0.5694  4 O 2.09
Ti: 0.7500 0.7500 0.4306  4 O 2.09
Ti: 0.7500 0.7500 0.9306  4 O 2.09
Zn: 0.2500 0.7500 0.0000  4 O 2.12
Zn: 0.2500 0.7500 0.5000  4 O 2.12
Zn: 0.7500 0.2500 0.0000  4 O 2.12
Zn: 0.7500 0.2500 0.5000  4 O 2.12
Si: 0.0135 0.5967 0.1471  4 O 1.62-1.63
Si: 0.0135 0.9033 0.6471  4 O 1.62-1.63
Si: 0.0967 0.5135 0.3529  4 O 1.62-1.63
Si: 0.0967 0.9865 0.8529  4 O 1.62-1.63
Si: 0.4033 0.5135 0.8529  4 O 1.62-1.63
Si: 0.4033 0.9865 0.3529  4 O 1.62-1.63
Si: 0.4865 0.5967 0.6471  4 O 1.62-1.63
Si: 0.4865 0.9033 0.1471  4 O 1.62-1.63
Si: 0.5135 0.0967 0.8529  4 O 1.62-1.63
Si: 0.5135 0.4033 0.3529  4 O 1.62-1.63
Si: 0.5967 0.0135 0.6471  4 O 1.62-1.63
Si: 0.5967 0.4865 0.1471  4 O 1.62-1.63
Si: 0.9033 0.0135 0.1471  4 O 1.62-1.63
Si: 0.9033 0.4865 0.6471  4 O 1.62-1.63
Si: 0.9865 0.0967 0.3529  4 O 1.62-1.63
Si: 0.9865 0.4033 0.8529  4 O 1.62-1.63
O: 0.0027 0.1844 0.8714  2 Si 1.63
O: 0.0027 0.3156 0.3714  2 Si 1.63
O: 0.0227 0.6645 0.4238  1 Si 1.63
O: 0.0227 0.8355 0.9238  1 Si 1.63
O: 0.0684 0.5684 0.2500  2 Si 1.62
O: 0.0684 0.9316 0.7500  2 Si 1.62
O: 0.1645 0.5227 0.0762  1 Si 1.63
O: 0.1645 0.9773 0.5762  1 Si 1.63
O: 0.1844 0.0027 0.3714  2 Si 1.63
O: 0.1844 0.4973 0.8714  2 Si 1.63
O: 0.3156 0.0027 0.8714  2 Si 1.63
O: 0.3156 0.4973 0.3714  2 Si 1.63
O: 0.3355 0.5227 0.5762  1 Si 1.63
O: 0.3355 0.9773 0.0762  1 Si 1.63
O: 0.4316 0.5684 0.7500  2 Si 1.62
O: 0.4316 0.9316 0.2500  2 Si 1.62
O: 0.4773 0.6645 0.9238  1 Si 1.63
O: 0.4773 0.8355 0.4238  1 Si 1.63
O: 0.4973 0.1844 0.3714  2 Si 1.63
O: 0.4973 0.3156 0.8714  2 Si 1.63
O: 0.5027 0.6844 0.1286  2 Si 1.63
O: 0.5027 0.8156 0.6286  2 Si 1.63
O: 0.5227 0.1645 0.5762  1 Si 1.63
O: 0.5227 0.3355 0.0762  1 Si 1.63
O: 0.5684 0.0684 0.7500  2 Si 1.62
O: 0.5684 0.4316 0.2500  2 Si 1.62
O: 0.6645 0.0227 0.9238  1 Si 1.63
O: 0.6645 0.4773 0.4238  1 Si 1.63
O: 0.6844 0.5027 0.6286  2 Si 1.63
O: 0.6844 0.9973 0.1286  2 Si 1.63
O: 0.8156 0.5027 0.1286  2 Si 1.63
O: 0.8156 0.9973 0.6286  2 Si 1.63
O: 0.8355 0.0227 0.4238  1 Si 1.63
O: 0.8355 0.4773 0.9238  1 Si 1.63
O: 0.9316 0.0684 0.2500  2 Si 1.62
O: 0.9316 0.4316 0.7500  2 Si 1.62
O: 0.9773 0.1645 0.0762  1 Si 1.63
O: 0.9773 0.3355 0.5762  1 Si 1.63
O: 0.9973 0.6844 0.6286  2 Si 1.63
O: 0.9973 0.8156 0.1286  2 Si 1.63

No. 4
The following is a DFT calculation (GGA-PBE) of a relaxed ZrTiSi2O8 crystal.

Calculated values
Formation energy without anion corrections in eV/atom: -2.907

Cell lengths 5.5117, 5.5117, 5.5117 Å; angles 107.07, 107.07, 114.40 degrees
With the nearest neighbours (Å) after each atom.
Atoms (fractional coordinates):
Zr: 0.0000 0.0000 0.0000  8 O 2.12-2.29
Ti: 0.2500 0.7500 0.5000  8 O 2.07-2.22
Si: 0.5000 0.5000 0.0000  4 O 1.65
Si: 0.7500 0.2500 0.5000  4 O 1.63
O: 0.3204 0.1298 0.8094  1 Si 1.65
O: 0.3204 0.5111 0.1906  1 Si 1.65
O: 0.3818 0.0632 0.3187  1 Si 1.63
O: 0.4889 0.6796 0.8094  1 Si 1.65
O: 0.7445 0.0632 0.6813  1 Si 1.63
O: 0.8702 0.6796 0.1906  1 Si 1.65
O: 0.9368 0.2555 0.3187  1 Si 1.63
O: 0.9368 0.6182 0.6813  1 Si 1.63

No. 5
The following is a DFT calculation (GGA-PBE) of a relaxed Tl6Si2O7 crystal.

Calculated values
Formation energy without anion corrections in eV/atom: -1.578

Cell lengths 9.9078, 9.9078, 8.1497 Å; angles 90.00, 90.00, 120.00 degrees
With the nearest neighbours (Å) after each atom.
Atoms (fractional coordinates):
Tl: 0.0340 0.3542 0.3689  3 O 2.47-2.75
Tl: 0.0528 0.3631 0.8799  3 O 2.52-2.55
Tl: 0.3103 0.9472 0.8799  3 O 2.52-2.55
Tl: 0.3202 0.9660 0.3689  3 O 2.47-2.75
Tl: 0.3542 0.3202 0.6311  3 O 2.47-2.75
Tl: 0.3631 0.3103 0.1201  3 O 2.52-2.55
Tl: 0.6369 0.6897 0.8799  3 O 2.52-2.55
Tl: 0.6458 0.6798 0.3689  3 O 2.47-2.75
Tl: 0.6798 0.0340 0.6311  3 O 2.47-2.75
Tl: 0.6897 0.0528 0.1201  3 O 2.52-2.55
Tl: 0.9472 0.6369 0.1201  3 O 2.52-2.55
Tl: 0.9660 0.6458 0.6311  3 O 2.47-2.75
Si: 0.3333 0.6667 0.1698  4 O 1.65-1.67
Si: 0.3333 0.6667 0.5803  4 O 1.65-1.67
Si: 0.6667 0.3333 0.4197  4 O 1.65-1.67
Si: 0.6667 0.3333 0.8302  4 O 1.65-1.67
O: 0.1504 0.5534 0.1149  1 Si 1.65
O: 0.1516 0.5485 0.6359  1 Si 1.65
O: 0.3333 0.6667 0.3752  2 Si 1.67
O: 0.3968 0.8484 0.6359  1 Si 1.65
O: 0.4030 0.8496 0.1149  1 Si 1.65
O: 0.4466 0.5970 0.1149  1 Si 1.65
O: 0.4515 0.6032 0.6359  1 Si 1.65
O: 0.5485 0.3968 0.3641  1 Si 1.65
O: 0.5534 0.4030 0.8851  1 Si 1.65
O: 0.5970 0.1504 0.8851  1 Si 1.65
O: 0.6032 0.1516 0.3641  1 Si 1.65
O: 0.6667 0.3333 0.6248  2 Si 1.67
O: 0.8484 0.4515 0.3641  1 Si 1.65
O: 0.8496 0.4466 0.8851  1 Si 1.65

No. 6
The following is a DFT calculation (GGA-PBE) of a relaxed TlSi4O8 crystal.

Calculated values
Formation energy without anion corrections in eV/atom: -2.340

Cell lengths 5.3639, 5.3639, 8.1347 Å; angles 90.00, 90.00, 120.00 degrees
With the nearest neighbours (Å) after each atom.
Atoms (fractional coordinates):
Tl: 0.0000 0.0000 0.0000  18 O 3.10-3.46
Si: 0.3333 0.6667 0.2029  4 O 1.64-1.65
Si: 0.3333 0.6667 0.7971  4 O 1.64-1.65
Si: 0.6667 0.3333 0.2029  4 O 1.64-1.65
Si: 0.6667 0.3333 0.7971  4 O 1.64-1.65
O: 0.0000 0.5000 0.2687  2 Si 1.64
O: 0.0000 0.5000 0.7313  2 Si 1.64
O: 0.3333 0.6667 0.0000  2 Si 1.65
O: 0.5000 0.0000 0.2687  2 Si 1.64
O: 0.5000 0.0000 0.7313  2 Si 1.64
O: 0.5000 0.5000 0.2687  2 Si 1.64
O: 0.5000 0.5000 0.7313  2 Si 1.64
O: 0.6667 0.3333 0.0000  2 Si 1.65

Number 1: total magnetization 0.00 μB/f.u.. Number 2: total magnetization 1.86 μB/f.u.. Number 3: total magnetization 1.98 μB/f.u.. Number 4: total magnetization 0.00 μB/f.u.. Number 5: total magnetization 0.00 μB/f.u.. Number 6: total magnetization 0.91 μB/f.u..